1.
GGA-PBE BaYI2N, relaxed; energy relative to the elements, uncorrected = 0.84 eV per formula unit; symmetry = P4/mmm (123); E = -18.98 eV for the cell shown; Fermi-level density of states = 2.28 states/eV/f.u.; ΔE to the lowest computed polymorph = 512 kJ/mol of formula units; calculated volume = 37.74 A^3/atom; magnetization = 0.11 μB per cell
1.0
-2.429 5.009 3.510
-6.098 -1.693 -1.805
-0.312 -2.595 3.487
N Y Ba I
1 1 1 2
Direct
0.000 0.000 0.500
0.500 0.500 0.500
0.000 0.000 0.000
0.000 0.500 0.000
0.500 0.000 0.000


2.
GGA-PBE BaYI2N, relaxed; energy relative to the elements, uncorrected = -4.47 eV per formula unit; symmetry = P4/mmm (123); E = -24.29 eV for the cell shown; Fermi-level density of states = 2.25 states/eV/f.u.; ΔE to the lowest computed polymorph = 0 kJ/mol of formula units; calculated volume = 33.53 A^3/atom; magnetization = 0.11 μB per cell
1.0
6.239 0.000 0.000
0.000 6.239 0.000
0.000 0.000 4.306
I Ba Y N
2 1 1 1
Direct
0.000 0.500 0.000
0.500 0.000 0.000
0.500 0.500 0.500
0.000 0.000 0.000
0.000 0.000 0.500